Here is a relaxed NaCr2AsO8 crystal from Alexandria via LeMat-Bulk. Energies are from PBE+U.

a = 5.571 Å, b = 5.571 Å, c = 6.685 Å
α = 90.00°, β = 90.00°, γ = 120.00°
Fractional coordinates of all 12 atoms:
Na  0.000  0.000  0.000
Cr  0.333  0.667  0.227
Cr  0.667  0.333  0.773
As  0.000  0.000  0.500
O  0.166  0.332  0.304
O  0.166  0.834  0.304
O  0.332  0.166  0.696
O  0.333  0.667  0.986
O  0.667  0.333  0.014
O  0.668  0.834  0.304
O  0.834  0.166  0.696
O  0.834  0.668  0.696

Results
Magnetization = 0.00 μB per formula unit
Total DFT energy (no corrections) = -75.15 eV per cell